A relaxed structure of LiY2PaSe4. Source: the Alexandria database, functional GGA-PBE.

a = 6.985 Å, b = 4.015 Å, c = 7.107 Å
α = 90.00°, β = 108.91°, γ = 90.00°
Space group P2/m (No. 10)
One atom of each set of equivalent atoms:
Li 0.000 0.000 0.000 x1
Y 0.500 0.000 0.500 x1
Y 0.500 0.500 0.000 x1
Pa 0.000 0.500 0.500 x1
Se 0.242 0.500 0.242 x2
Se 0.245 0.000 0.759 x2

## Properties
E_tot = -50.81 eV/cell
ΔE_f (raw) = -1.567 eV per atom
ρ = 6.44 g/cm3

A relaxed structure of Y2SnTe. Source: the Alexandria database, functional GGA-PBE.

a = 4.3919 Å, b = 4.3919 Å, c = 21.6877 Å
α = 90.00°, β = 90.00°, γ = 120.00°
Space group R-3m (No. 166, hexagonal axes)
One atom of each set of equivalent atoms:
Y 0.0000 0.0000 0.2456 x6
Sn 0.0000 0.0000 0.5000 x3
Te 0.0000 0.0000 0.0000 x3

## Properties
Energy above the lowest structure with this stoichiometry = 0.017 eV per atom
E_tot = -73.13 eV/cell
ΔE_f (raw) = -1.076 eV per atom
ρ = 5.83 g/cm3

A relaxed structure of LiDy2Hg6. Source: the Alexandria database, functional GGA-PBE.

a = 8.437 Å, b = 8.526 Å, c = 5.954 Å
α = 90.00°, β = 90.88°, γ = 90.00°
Space group C2/m (No. 12)
One atom of each set of equivalent atoms:
Li 0.000 0.000 0.000 x2
Dy 0.173 0.500 0.675 x4
Hg 0.000 0.165 0.500 x4
Hg 0.168 0.333 0.167 x8

## Properties
Energy above the lowest structure with this stoichiometry = 0.036 eV per atom
E_tot = -31.54 eV/cell
Energy of formation from the pure elements = -30 kJ per mole of atoms
ρ = 11.91 g/cm3

A relaxed structure of CePuC. Source: the Alexandria database, functional GGA-PBE.

a = 6.059 Å, b = 6.059 Å, c = 6.059 Å
α = 90.00°, β = 90.00°, γ = 90.00°
Space group F-43m (No. 216)
One atom of each set of equivalent atoms:
Ce 0.000 0.000 0.000 x4
Pu 0.000 0.000 0.500 x4
C 0.250 0.250 0.250 x4

## Properties
Energy above the lowest structure with this stoichiometry = 0.222 eV per atom
E_tot = -116.10 eV/cell
Energy of formation from the pure elements = 15 kJ per mole of atoms
ρ = 11.83 g/cm3